Entry from Alexandria: a relaxed TiAlTl3 crystal (GGA-PBEsol).

symmetry = Pm-3m

Lattice parameters (Å, degrees): 5.3302 5.3302 5.3302 90.00 90.00 90.00
Last column: nearest neighbours and their distance in Å.
Sites, in units of the cell vectors:
Tl1 0.0000 0.5000 0.0000  2 Ti 2.67
Tl2 0.0000 0.0000 0.5000  2 Ti 2.67
Tl3 0.5000 0.0000 0.0000  2 Ti 2.67
Al1 0.5000 0.5000 0.5000  12 Tl 3.77
Ti1 0.0000 0.0000 0.0000  6 Tl 2.67


Entry from Alexandria: a relaxed TiAlW3 crystal (GGA-PBEsol).

symmetry = Pm-3m

Lattice parameters (Å, degrees): 4.4923 4.4923 4.4923 90.00 90.00 90.00
Last column: nearest neighbours and their distance in Å.
Sites, in units of the cell vectors:
Al1 0.0000 0.0000 0.0000  6 W 2.25
W1 0.0000 0.5000 0.0000  2 Al 2.25
W2 0.0000 0.0000 0.5000  2 Al 2.25
W3 0.5000 0.0000 0.0000  2 Al 2.25
Ti1 0.5000 0.5000 0.5000  12 W 3.18


Entry from Alexandria: a relaxed YTiAl3 crystal (GGA-PBEsol).

symmetry = Pm-3m

Lattice parameters (Å, degrees): 4.8157 4.8157 4.8157 90.00 90.00 90.00
Last column: nearest neighbours and their distance in Å.
Sites, in units of the cell vectors:
Y1 0.5000 0.5000 0.5000  12 Al 3.41
Al1 0.0000 0.5000 0.0000  2 Ti 2.41
Al2 0.0000 0.0000 0.5000  2 Ti 2.41
Al3 0.5000 0.0000 0.0000  2 Ti 2.41
Ti1 0.0000 0.0000 0.0000  6 Al 2.41


Entry from Alexandria: a relaxed Ti4Al11Zn crystal (GGA-PBEsol).

symmetry = P4mm

Lattice parameters (Å, degrees): 3.8733 3.8733 16.3971 90.00 90.00 90.00
Last column: nearest neighbours and their distance in Å.
Sites, in units of the cell vectors:
Zn1 0.5000 0.5000 0.1232  4 Ti 2.74, 8 Al 2.76-2.80
Al1 0.5000 0.0000 0.0030  4 Ti 2.71-2.76, 6 Al 2.74-2.83, 2 Zn 2.76
Al2 0.0000 0.5000 0.4994  4 Ti 2.73-2.75, 8 Al 2.74-2.86
Al3 0.5000 0.0000 0.4994  4 Ti 2.73-2.75, 8 Al 2.74-2.86
Al4 0.0000 0.5000 0.0030  4 Ti 2.71-2.76, 6 Al 2.74-2.83, 2 Zn 2.76
Al5 0.0000 0.5000 0.2466  6 Al 2.74-2.82, 2 Zn 2.80, 4 Ti 2.85-2.94
Al6 0.5000 0.0000 0.7512  8 Al 2.74-2.83, 4 Ti 2.91
Al7 0.5000 0.0000 0.2466  6 Al 2.74-2.82, 2 Zn 2.80, 4 Ti 2.85-2.94
Al8 0.0000 0.5000 0.7512  8 Al 2.74-2.83, 4 Ti 2.91
Al9 0.0000 0.0000 0.6253  4 Ti 2.74, 8 Al 2.83
Al10 0.0000 0.0000 0.3713  4 Ti 2.74, 8 Al 2.82-2.86
Al11 0.5000 0.5000 0.8770  4 Ti 2.74, 8 Al 2.83
Ti1 0.5000 0.5000 0.3818  12 Al 2.73-2.94
Ti2 0.0000 0.0000 0.8835  12 Al 2.74-2.91
Ti3 0.0000 0.0000 0.1189  8 Al 2.71-2.85, 4 Zn 2.74
Ti4 0.5000 0.5000 0.6187  12 Al 2.74-2.91


| no. | final energy (eV per formula unit) |
| --- | --- |
| 1 | -17.01 |
| 2 | -45.21 |
| 3 | -26.22 |
| 4 | -86.14 |